Entry from Alexandria via LeMat-Bulk: an optimized crystal structure of NiIN2O (PBE+U).

Calculated values
E_tot, eV per cell: -14.4

abc: 3.9161 3.9161 4.8594
angles: 90.00 90.00 90.00
Site moments in Bohr magnetons follow the coordinates.
Fractional positions:
N 0.5000 0.0000 0.0000  1.21
Ni 0.5000 0.5000 0.5000  1.11
I 0.0000 0.0000 0.5000  0.12
N 0.0000 0.5000 0.0000  1.21
O 0.0000 0.0000 0.0000  -0.14